## Y3TmGa3 (PBE)

Data for a relaxed structure of Y3TmGa3.

a = 4.8170 Å, b = 9.0928 Å, c = 9.0928 Å
α = 120.00°, β = 90.00°, γ = 90.00°
Atoms (fractional coordinates):
Y (0.7500, 0.7591, 0.7453)
Y (0.7500, 0.2547, 0.0138)
Y (0.7500, 0.9862, 0.2409)
Y (0.2500, 0.2409, 0.2547)
Y (0.2500, 0.7453, 0.9862)
Y (0.2500, 0.0138, 0.7591)
Tm (0.2500, 0.6667, 0.3333)
Tm (0.7500, 0.3333, 0.6667)
Ga (0.2500, 0.5499, 0.6084)
Ga (0.2500, 0.3916, 0.9415)
Ga (0.2500, 0.0585, 0.4501)
Ga (0.7500, 0.4501, 0.3916)
Ga (0.7500, 0.6084, 0.0585)
Ga (0.7500, 0.9415, 0.5499)

Output
- DFT total energy (eV/f.u.) = -35.8